1.
# PBE-GGA TlZnHgIr2, relaxed
# * calculated density: 11.61 g/cm3
# * energy: -14.23 eV/cell
# * V: 24.45 A^3/atom
data_TlZnHgIr2
_chemical_formula_sum 'Tl1 Zn1 Hg1 Ir2'
_cell_length_a 5.069
_cell_length_b 5.069
_cell_length_c 4.758
_cell_angle_alpha 90.00
_cell_angle_beta 90.00
_cell_angle_gamma 90.00
_space_group_name_H-M_alt 'P 4/m m m'
_space_group_IT_number 123
_space_group_name_Hall '-P 4 2'
loop_
_atom_site_label
_atom_site_type_symbol
_atom_site_fract_x
_atom_site_fract_y
_atom_site_fract_z
Tl1 Tl 0.000 0.000 0.000
Zn1 Zn 0.500 0.500 0.000
Hg1 Hg 0.500 0.500 0.500
Ir1 Ir 0.000 0.500 0.500



2.
# PBE-GGA Tm4HgIr, relaxed
# * calculated density: 11.85 g/cm3
# * energy: -489.98 eV/cell
# * V: 24.95 A^3/atom
data_Tm4HgIr
_chemical_formula_sum 'Tm64 Hg16 Ir16'
_cell_length_a 13.380
_cell_length_b 13.380
_cell_length_c 13.380
_cell_angle_alpha 90.00
_cell_angle_beta 90.00
_cell_angle_gamma 90.00
_space_group_name_H-M_alt 'F -4 3 m'
_space_group_IT_number 216
_space_group_name_Hall 'F -4 2 3'
loop_
_atom_site_label
_atom_site_type_symbol
_atom_site_fract_x
_atom_site_fract_y
_atom_site_fract_z
Tm1 Tm 0.000 0.000 0.188
Tm2 Tm 0.060 0.250 0.250
Tm3 Tm 0.102 0.102 0.602
Hg1 Hg 0.165 0.165 0.835
Ir1 Ir 0.108 0.108 0.392



3.
# PBE-GGA Tm8Hg2Ir3, relaxed
# * calculated density: 11.57 g/cm3
# * energy: -70.47 eV/cell
# * V: 25.71 A^3/atom
data_Tm8Hg2Ir3
_chemical_formula_sum 'Tm8 Hg2 Ir3'
_cell_length_a 8.586
_cell_length_b 4.848
_cell_length_c 8.595
_cell_angle_alpha 90.00
_cell_angle_beta 110.93
_cell_angle_gamma 90.00
_space_group_name_H-M_alt 'P 1 2/m 1'
_space_group_IT_number 10
loop_
_space_group_symop_operation_xyz
'x,y,z'
'-x,-y,-z'
'-x,y,-z'
'x,-y,z'
loop_
_atom_site_label
_atom_site_type_symbol
_atom_site_fract_x
_atom_site_fract_y
_atom_site_fract_z
Tm1 Tm 0.113 0.000 0.386
Tm2 Tm 0.138 0.500 0.868
Tm3 Tm 0.367 0.500 0.638
Tm4 Tm 0.384 0.000 0.116
Hg1 Hg 0.243 0.500 0.257
Ir1 Ir 0.247 0.000 0.747
Ir2 Ir 0.500 0.500 0.000



4.
# PBE-GGA Tm4Hg3Ir, relaxed
# * calculated density: 13.05 g/cm3
# * energy: -32.48 eV/cell
# * V: 23.38 A^3/atom
data_Tm4Hg3Ir
_chemical_formula_sum 'Tm4 Hg3 Ir1'
_cell_length_a 3.546
_cell_length_b 3.546
_cell_length_c 14.871
_cell_angle_alpha 90.00
_cell_angle_beta 90.00
_cell_angle_gamma 90.00
_space_group_name_H-M_alt 'P 4/m m m'
_space_group_IT_number 123
_space_group_name_Hall '-P 4 2'
loop_
_atom_site_label
_atom_site_type_symbol
_atom_site_fract_x
_atom_site_fract_y
_atom_site_fract_z
Tm1 Tm 0.000 0.000 0.107
Tm2 Tm 0.000 0.000 0.371
Hg1 Hg 0.500 0.500 0.245
Hg2 Hg 0.500 0.500 0.500
Ir1 Ir 0.500 0.500 0.000



5.
# PBE-GGA TmHgIr4, relaxed
# * calculated density: 17.92 g/cm3
# * energy: -166.90 eV/cell
# * V: 17.58 A^3/atom
data_TmHgIr4
_chemical_formula_sum 'Tm4 Hg4 Ir16'
_cell_length_a 7.501
_cell_length_b 7.501
_cell_length_c 7.501
_cell_angle_alpha 90.00
_cell_angle_beta 90.00
_cell_angle_gamma 90.00
_space_group_name_H-M_alt 'F -4 3 m'
_space_group_IT_number 216
_space_group_name_Hall 'F -4 2 3'
loop_
_atom_site_label
_atom_site_type_symbol
_atom_site_fract_x
_atom_site_fract_y
_atom_site_fract_z
Tm1 Tm 0.000 0.000 0.000
Hg1 Hg 0.250 0.250 0.750
Ir1 Ir 0.125 0.125 0.375



6.
# PBE-GGA Tm4Hg5Ir2, relaxed
# * calculated density: 13.24 g/cm3
# * energy: -43.26 eV/cell
# * V: 23.53 A^3/atom
data_Tm4Hg5Ir2
_chemical_formula_sum 'Tm4 Hg5 Ir2'
_cell_length_a 7.673
_cell_length_b 3.573
_cell_length_c 9.474
_cell_angle_alpha 90.00
_cell_angle_beta 94.86
_cell_angle_gamma 90.00
_space_group_name_H-M_alt 'P 1 2/m 1'
_space_group_IT_number 10
loop_
_space_group_symop_operation_xyz
'x,y,z'
'-x,-y,-z'
'-x,y,-z'
'x,-y,z'
loop_
_atom_site_label
_atom_site_type_symbol
_atom_site_fract_x
_atom_site_fract_y
_atom_site_fract_z
Tm1 Tm 0.181 0.000 0.351
Tm2 Tm 0.210 0.000 0.938
Hg1 Hg 0.169 0.500 0.643
Hg2 Hg 0.461 0.500 0.165
Hg3 Hg 0.500 0.500 0.500
Ir1 Ir 0.081 0.500 0.141



7.
# PBE-GGA Tm5Hg2Ir, relaxed
# * calculated density: 11.84 g/cm3
# * energy: -72.45 eV/cell
# * V: 25.21 A^3/atom
data_Tm5Hg2Ir
_chemical_formula_sum 'Tm10 Hg4 Ir2'
_cell_length_a 6.948
_cell_length_b 12.000
_cell_length_c 4.839
_cell_angle_alpha 90.00
_cell_angle_beta 90.00
_cell_angle_gamma 90.00
_space_group_name_H-M_alt 'P b a m'
_space_group_IT_number 55
loop_
_space_group_symop_operation_xyz
'x,y,z'
'-x,-y,-z'
'-x,-y,z'
'x,y,-z'
'x+1/2,-y+1/2,-z'
'-x+1/2,y+1/2,z'
'-x+1/2,y+1/2,-z'
'x+1/2,-y+1/2,z'
loop_
_atom_site_label
_atom_site_type_symbol
_atom_site_fract_x
_atom_site_fract_y
_atom_site_fract_z
Tm1 Tm 0.000 0.000 0.000
Tm2 Tm 0.141 0.291 0.000
Tm3 Tm 0.174 0.586 0.500
Hg1 Hg 0.085 0.839 0.500
Ir1 Ir 0.000 0.500 0.000



8.
# PBE-GGA Tm8Hg2Ir, relaxed
# * calculated density: 11.12 g/cm3
# * energy: -98.72 eV/cell
# * V: 26.41 A^3/atom
data_Tm8Hg2Ir
_chemical_formula_sum 'Tm16 Hg4 Ir2'
_cell_length_a 17.514
_cell_length_b 5.140
_cell_length_c 6.769
_cell_angle_alpha 90.00
_cell_angle_beta 107.59
_cell_angle_gamma 90.00
_space_group_name_H-M_alt 'C 1 2/m 1'
_space_group_IT_number 12
loop_
_space_group_symop_operation_xyz
'x,y,z'
'-x,-y,-z'
'-x,y,-z'
'x,-y,z'
'x+1/2,y+1/2,z'
'-x+1/2,-y+1/2,-z'
'-x+1/2,y+1/2,-z'
'x+1/2,-y+1/2,z'
loop_
_atom_site_label
_atom_site_type_symbol
_atom_site_fract_x
_atom_site_fract_y
_atom_site_fract_z
Tm1 Tm 0.023 0.000 0.287
Tm2 Tm 0.089 0.500 0.929
Tm3 Tm 0.154 0.500 0.462
Tm4 Tm 0.201 0.000 0.808
Hg1 Hg 0.184 0.000 0.222
Ir1 Ir 0.000 0.500 0.500